# NiPbS2N, relaxed, DFT PBE
# - total magnetization (μB per formula unit) = 0.49
# - energy above the lowest structure with this stoichiometry (meV/atom) = 0
# - N(E_F) (states/eV/f.u.) = 3.45
data_NiPbS2N
_cell_length_a 4.7669
_cell_length_b 4.7669
_cell_length_c 3.5122
_cell_angle_alpha 90.00
_cell_angle_beta 90.00
_cell_angle_gamma 90.00
_space_group_name_H-M_alt 'P 1'
_space_group_IT_number 1
loop_
_space_group_symop_operation_xyz
'x,y,z'
loop_
_atom_site_label
_atom_site_type_symbol
_atom_site_fract_x
_atom_site_fract_y
_atom_site_fract_z
_atom_site_occupancy
Ni1 Ni 0.0000 0.0000 0.0000 1
Pb1 Pb 0.5000 0.5000 0.5000 1
S1 S 0.0000 0.5000 0.0000 1
S2 S 0.5000 0.0000 0.0000 1
N1 N 0.0000 0.0000 0.5000 1

***

# NiPbSN2, relaxed, DFT PBE
# - total magnetization (μB per formula unit) = 3.25
# - energy above the lowest structure with this stoichiometry (meV/atom) = 0
# - N(E_F) (states/eV/f.u.) = 2.31
data_NiPbSN2
_cell_length_a 3.9243
_cell_length_b 3.9243
_cell_length_c 4.8752
_cell_angle_alpha 90.00
_cell_angle_beta 90.00
_cell_angle_gamma 90.00
_space_group_name_H-M_alt 'P 1'
_space_group_IT_number 1
loop_
_space_group_symop_operation_xyz
'x,y,z'
loop_
_atom_site_label
_atom_site_type_symbol
_atom_site_fract_x
_atom_site_fract_y
_atom_site_fract_z
_atom_site_occupancy
Ni1 Ni 0.0000 0.0000 0.0000 1
Pb1 Pb 0.5000 0.5000 0.5000 1
S1 S 0.0000 0.0000 0.5000 1
N1 N 0.0000 0.5000 0.0000 1
N2 N 0.5000 0.0000 0.0000 1

***

# NiPbSN2, relaxed, DFT PBE
# - total magnetization (μB per formula unit) = 4.15
# - energy above the lowest structure with this stoichiometry (meV/atom) = 1016
# - N(E_F) (states/eV/f.u.) = 5.16
data_NiPbSN2
_cell_length_a 4.2647
_cell_length_b 4.2647
_cell_length_c 5.4666
_cell_angle_alpha 90.00
_cell_angle_beta 90.00
_cell_angle_gamma 90.00
_space_group_name_H-M_alt 'P 1'
_space_group_IT_number 1
loop_
_space_group_symop_operation_xyz
'x,y,z'
loop_
_atom_site_label
_atom_site_type_symbol
_atom_site_fract_x
_atom_site_fract_y
_atom_site_fract_z
_atom_site_occupancy
Ni1 Ni 0.0000 0.0000 0.0000 1
Pb1 Pb 0.5000 0.5000 0.5000 1
S1 S 0.5000 0.5000 0.0000 1
N1 N 0.0000 0.5000 0.5000 1
N2 N 0.5000 0.0000 0.5000 1

***

# NiPbSe2N, relaxed, DFT PBE
# - total magnetization (μB per formula unit) = 0.00
# - energy above the lowest structure with this stoichiometry (meV/atom) = 0
# - N(E_F) (states/eV/f.u.) = 2.95
data_NiPbSe2N
_cell_length_a 5.2387
_cell_length_b 5.2387
_cell_length_c 3.4957
_cell_angle_alpha 90.00
_cell_angle_beta 90.00
_cell_angle_gamma 90.00
_space_group_name_H-M_alt 'P 1'
_space_group_IT_number 1
loop_
_space_group_symop_operation_xyz
'x,y,z'
loop_
_atom_site_label
_atom_site_type_symbol
_atom_site_fract_x
_atom_site_fract_y
_atom_site_fract_z
_atom_site_occupancy
Ni1 Ni 0.0000 0.0000 0.0000 1
Pb1 Pb 0.5000 0.5000 0.5000 1
Se1 Se 0.0000 0.5000 0.0000 1
Se2 Se 0.5000 0.0000 0.0000 1
N1 N 0.0000 0.0000 0.5000 1

***

# NiPbSe2N, relaxed, DFT PBE
# - total magnetization (μB per formula unit) = 3.22
# - energy above the lowest structure with this stoichiometry (meV/atom) = 1198
# - N(E_F) (states/eV/f.u.) = 6.38
data_NiPbSe2N
_cell_length_a 5.4798
_cell_length_b 5.4798
_cell_length_c 4.2530
_cell_angle_alpha 90.00
_cell_angle_beta 90.00
_cell_angle_gamma 90.00
_space_group_name_H-M_alt 'P 1'
_space_group_IT_number 1
loop_
_space_group_symop_operation_xyz
'x,y,z'
loop_
_atom_site_label
_atom_site_type_symbol
_atom_site_fract_x
_atom_site_fract_y
_atom_site_fract_z
_atom_site_occupancy
Ni1 Ni 0.0000 0.0000 0.0000 1
Pb1 Pb 0.5000 0.5000 0.5000 1
Se1 Se 0.0000 0.5000 0.5000 1
Se2 Se 0.5000 0.0000 0.5000 1
N1 N 0.5000 0.5000 0.0000 1

***

# NiTe2PbN, relaxed, DFT PBE
# - total magnetization (μB per formula unit) = 0.00
# - energy above the lowest structure with this stoichiometry (meV/atom) = 0
# - N(E_F) (states/eV/f.u.) = 3.06
data_NiTe2PbN
_cell_length_a 5.6868
_cell_length_b 5.6868
_cell_length_c 3.4893
_cell_angle_alpha 90.00
_cell_angle_beta 90.00
_cell_angle_gamma 90.00
_space_group_name_H-M_alt 'P 1'
_space_group_IT_number 1
loop_
_space_group_symop_operation_xyz
'x,y,z'
loop_
_atom_site_label
_atom_site_type_symbol
_atom_site_fract_x
_atom_site_fract_y
_atom_site_fract_z
_atom_site_occupancy
Ni1 Ni 0.0000 0.0000 0.0000 1
Te1 Te 0.0000 0.5000 0.0000 1
Te2 Te 0.5000 0.0000 0.0000 1
Pb1 Pb 0.5000 0.5000 0.5000 1
N1 N 0.0000 0.0000 0.5000 1

***

# NiTe2PbN, relaxed, DFT PBE
# - total magnetization (μB per formula unit) = 2.68
# - energy above the lowest structure with this stoichiometry (meV/atom) = 1207
# - N(E_F) (states/eV/f.u.) = 7.85
data_NiTe2PbN
_cell_length_a 5.9014
_cell_length_b 5.9014
_cell_length_c 4.1747
_cell_angle_alpha 90.00
_cell_angle_beta 90.00
_cell_angle_gamma 90.00
_space_group_name_H-M_alt 'P 1'
_space_group_IT_number 1
loop_
_space_group_symop_operation_xyz
'x,y,z'
loop_
_atom_site_label
_atom_site_type_symbol
_atom_site_fract_x
_atom_site_fract_y
_atom_site_fract_z
_atom_site_occupancy
Ni1 Ni 0.0000 0.0000 0.0000 1
Te1 Te 0.0000 0.5000 0.5000 1
Te2 Te 0.5000 0.0000 0.5000 1
Pb1 Pb 0.5000 0.5000 0.5000 1
N1 N 0.5000 0.5000 0.0000 1

***

# Ni2TePbN, relaxed, DFT PBE
# - total magnetization (μB per formula unit) = 0.85
# - N(E_F) (states/eV/f.u.) = 7.82
data_Ni2TePbN
_cell_length_a 4.7768
_cell_length_b 4.7768
_cell_length_c 5.9966
_cell_angle_alpha 90.00
_cell_angle_beta 90.00
_cell_angle_gamma 90.00
_space_group_name_H-M_alt 'P 1'
_space_group_IT_number 1
loop_
_space_group_symop_operation_xyz
'x,y,z'
loop_
_atom_site_label
_atom_site_type_symbol
_atom_site_fract_x
_atom_site_fract_y
_atom_site_fract_z
_atom_site_occupancy
Ni1 Ni 0.0000 0.5000 0.0000 1
Ni2 Ni 0.5000 0.0000 0.0000 1
Te1 Te 0.0000 0.0000 0.5000 1
Pb1 Pb 0.0000 0.0000 0.0000 1
N1 N 0.5000 0.5000 0.5000 1

***

E_form (uncorrected) / eV/atom: 0.37; 1.00; 2.01; 0.28; 1.48; 0.32; 1.53; 2.24